a) Material: CoCu2Cl
Method: DFT, SCAN
State: single point on PBEsol structure

## Properties
Theoretical density: 7.41 Mg/m³
Space-group type: No. 47
Magnetization: 1.9 μB/f.u.

Cell: 2.820 4.018 4.377 Å, 90.00 90.00 90.00°
Last column: magnetic moment on the atom in μB.
Fractional coordinates of all 4 atoms:
Cl1 0.500 0.000 0.500  0.05
Co1 0.000 0.500 0.500  1.84
Cu1 0.000 0.000 0.000  0.01
Cu2 0.500 0.500 0.000  0.02

b) Material: CoCu2Cl
Method: DFT, SCAN
State: single point on PBEsol structure

## Properties
Theoretical density: 7.19 Mg/m³
Space-group type: No. 12
Magnetization: 1.7 μB/f.u.

Cell: 2.729 4.060 5.221 Å, 112.75 104.96 90.47°
Last column: magnetic moment on the atom in μB.
Fractional coordinates of all 4 atoms:
Cl1 0.000 0.000 0.000  0.02
Co1 0.500 0.500 0.000  1.74
Cu1 0.000 0.500 0.500  -0.01
Cu2 0.500 0.000 0.500  -0.01

c) Material: CoCu2Cl
Method: DFT, SCAN
State: single point on PBEsol structure

## Properties
Theoretical density: 6.63 Mg/m³
Space-group type: No. 6
Magnetization: 2.0 μB/f.u.

Cell: 2.909 3.060 6.233 Å, 89.80 90.00 90.00°
Last column: magnetic moment on the atom in μB.
Fractional coordinates of all 4 atoms:
Cl1 0.000 0.504 0.514  0.05
Co1 0.500 0.500 0.796  1.97
Cu1 0.000 0.999 0.993  0.08
Cu2 0.500 0.497 0.196  0.00

Which of them is the most stable? Correct choice: c).

a) Material: CoClF2
Method: DFT, SCAN
State: single point on PBEsol structure

## Properties
Theoretical density: 2.90 Mg/m³
Space-group type: No. 227
Magnetization: 4.0 μB/f.u.

Cell: 5.985 5.987 5.985 Å, 60.01 90.00 119.99°
Last column: magnetic moment on the atom in μB.
Fractional coordinates of all 8 atoms:
F1 0.375 0.250 0.875  0.16
F2 0.875 0.250 0.875  0.16
F3 0.875 0.750 0.375  0.16
F4 0.875 0.750 0.875  0.16
Co1 0.000 0.000 0.000  2.95
Co2 0.750 0.500 0.750  2.95
Cl1 0.500 0.000 0.500  0.50
Cl2 0.250 0.500 0.250  0.50

b) Material: CoClF2
Method: DFT, SCAN
State: single point on PBEsol structure

## Properties
Theoretical density: 4.70 Mg/m³
Space-group type: No. 225
Magnetization: 4.0 μB/f.u.

Cell: 4.044 4.044 4.044 Å, 60.00 60.00 60.00°
Last column: magnetic moment on the atom in μB.
Fractional coordinates of all 4 atoms:
F1 0.250 0.250 0.250  0.25
F2 0.750 0.750 0.750  0.25
Co1 0.500 0.500 0.500  2.78
Cl1 0.000 0.000 0.000  0.60

Which of them is the most stable? Correct choice: a).

a) Material: CoHgCl2
Method: DFT, SCAN
State: single point on PBEsol structure

## Properties
Theoretical density: 6.41 Mg/m³
Space-group type: No. 166
Magnetization: 1.0 μB/f.u.

Cell: 3.338 3.338 9.081 Å, 79.41 79.41 60.00°
Last column: magnetic moment on the atom in μB.
Fractional coordinates of all 4 atoms:
Co1 0.500 0.500 0.500  1.09
Hg1 0.000 0.000 0.000  -0.04
Cl1 0.219 0.219 0.344  -0.02
Cl2 0.781 0.781 0.656  -0.02

b) Material: CoHgCl2
Method: DFT, SCAN
State: single point on PBEsol structure

## Properties
Theoretical density: 7.34 Mg/m³
Space-group type: No. 123
Magnetization: 2.5 μB/f.u.

Cell: 3.351 4.722 4.722 Å, 90.00 90.00 90.00°
Last column: magnetic moment on the atom in μB.
Fractional coordinates of all 4 atoms:
Co1 0.500 0.500 0.500  2.15
Hg1 0.500 0.000 0.000  0.15
Cl1 0.000 0.000 0.500  0.06
Cl2 0.000 0.500 0.000  0.06

Which of them is the most stable? Correct choice: a).

a) Material: In2CoCl
Method: DFT, SCAN
State: single point on PBEsol structure

## Properties
Theoretical density: 6.93 Mg/m³
Space-group type: No. 44
Magnetization: 1.8 μB/f.u.

Cell: 2.940 5.141 5.929 Å, 115.69 104.36 90.00°
Last column: magnetic moment on the atom in μB.
Fractional coordinates of all 4 atoms:
Cl1 0.567 0.567 0.133  0.06
Co1 0.240 0.740 0.479  1.75
In1 0.954 0.954 0.908  0.01
In2 0.740 0.240 0.480  -0.01

b) Material: In2CoCl
Method: DFT, SCAN
State: single point on PBEsol structure

## Properties
Theoretical density: 7.18 Mg/m³
Space-group type: No. 10
Magnetization: 1.5 μB/f.u.

Cell: 3.107 3.142 7.676 Å, 90.00 90.09 90.00°
Last column: magnetic moment on the atom in μB.
Fractional coordinates of all 4 atoms:
Cl1 0.500 0.500 0.000  0.00
Co1 0.000 0.500 0.500  1.50
In1 0.501 0.000 0.698  0.00
In2 0.499 0.000 0.302  0.00

c) Material: In2CoCl
Method: DFT, SCAN
State: single point on PBEsol structure

## Properties
Theoretical density: 6.70 Mg/m³
Space-group type: No. 71
Magnetization: 1.8 μB/f.u.

Cell: 3.299 5.459 5.459 Å, 60.76 72.41 72.41°
Last column: magnetic moment on the atom in μB.
Fractional coordinates of all 4 atoms:
Cl1 0.500 0.000 0.000  0.02
Co1 0.000 0.500 0.500  1.78
In1 0.274 0.726 0.726  -0.01
In2 0.726 0.274 0.274  -0.01

Which of them is the most stable? Correct choice: b).

a) Material: K2CoCl
Method: DFT, SCAN
State: single point on PBEsol structure

## Properties
Theoretical density: 2.32 Mg/m³
Space-group type: No. 38
Magnetization: 2.0 μB/f.u.

Cell: 3.920 5.257 6.297 Å, 90.00 108.14 90.00°
Last column: magnetic moment on the atom in μB.
Fractional coordinates of all 4 atoms:
K1 0.002 0.500 0.004  0.00
K2 0.245 0.000 0.489  -0.01
Co1 0.732 0.500 0.465  1.94
Cl1 0.521 0.000 0.042  0.00

b) Material: K2CoCl
Method: DFT, SCAN
State: single point on PBEsol structure

## Properties
Theoretical density: 2.13 Mg/m³
Space-group type: No. 65
Magnetization: 2.0 μB/f.u.

Cell: 4.545 4.547 6.498 Å, 90.00 90.00 90.07°
Last column: magnetic moment on the atom in μB.
Fractional coordinates of all 4 atoms:
K1 0.000 0.000 0.875  0.00
K2 0.500 0.500 0.375  0.00
Co1 0.500 0.500 0.875  1.97
Cl1 0.000 0.000 0.375  0.00

Which of them is the most stable? Correct choice: b).

a) Material: LiCo2Cl
Method: DFT, SCAN
State: single point on PBEsol structure

## Properties
Theoretical density: 4.45 Mg/m³
Space-group type: No. 8
Magnetization: 3.9 μB/f.u.

Cell: 3.073 3.270 6.923 Å, 80.87 77.18 61.98°
Last column: magnetic moment on the atom in μB.
Fractional coordinates of all 4 atoms:
Cl1 0.310 0.118 0.261  0.02
Co1 0.950 0.131 0.969  1.97
Co2 0.704 0.796 0.796  1.96
Li1 0.536 0.455 0.474  -0.01

b) Material: LiCo2Cl
Method: DFT, SCAN
State: single point on PBEsol structure

## Properties
Theoretical density: 5.15 Mg/m³
Space-group type: No. 65
Magnetization: 3.3 μB/f.u.

Cell: 2.698 4.649 4.733 Å, 119.41 90.00 90.00°
Last column: magnetic moment on the atom in μB.
Fractional coordinates of all 4 atoms:
Cl1 0.500 0.500 0.000  0.01
Co1 0.000 0.000 0.500  1.74
Co2 0.000 0.500 0.500  1.74
Li1 0.500 0.000 0.000  -0.03

Which of them is the most stable? Correct choice: a).

a) Material: LiCo2Cl
Method: DFT, SCAN
State: single point on PBEsol structure

## Properties
Theoretical density: 5.34 Mg/m³
Space-group type: No. 123
Magnetization: 3.9 μB/f.u.

Cell: 3.121 3.121 5.118 Å, 90.00 90.00 90.00°
Last column: magnetic moment on the atom in μB.
Fractional coordinates of all 4 atoms:
Cl1 0.500 0.500 0.500  0.09
Co1 0.000 0.000 0.783  1.96
Co2 0.000 0.000 0.217  1.96
Li1 0.500 0.500 0.000  -0.03

b) Material: LiCo2Cl
Method: DFT, SCAN
State: single point on PBEsol structure

## Properties
Theoretical density: 5.09 Mg/m³
Space-group type: No. 166
Magnetization: 3.7 μB/f.u.

Cell: 2.777 2.777 7.994 Å, 80.00 80.00 60.00°
Last column: magnetic moment on the atom in μB.
Fractional coordinates of all 4 atoms:
Cl1 0.500 0.500 0.500  0.10
Co1 0.242 0.242 0.273  1.84
Co2 0.758 0.758 0.727  1.84
Li1 0.000 0.000 0.000  -0.02

Which of them is the most stable? Correct choice: b).

a) Material: LiCoCl2
Method: DFT, SCAN
State: single point on PBEsol structure

## Properties
Theoretical density: 3.02 Mg/m³
Space-group type: No. 47
Magnetization: 2.0 μB/f.u.

Cell: 3.284 3.332 6.872 Å, 90.00 90.00 90.00°
Last column: magnetic moment on the atom in μB.
Fractional coordinates of all 4 atoms:
Cl1 0.000 0.000 0.000  0.06
Cl2 0.000 0.500 0.500  0.00
Co1 0.500 0.500 0.000  1.91
Li1 0.500 0.000 0.500  0.00

b) Material: LiCoCl2
Method: DFT, SCAN
State: single point on PBEsol structure

## Properties
Theoretical density: 3.18 Mg/m³
Space-group type: No. 166
Magnetization: 2.0 μB/f.u.

Cell: 3.403 3.403 7.379 Å, 76.67 76.67 60.00°
Last column: magnetic moment on the atom in μB.
Fractional coordinates of all 4 atoms:
Li1 0.500 0.500 0.500  0.00
Co1 0.000 0.000 0.000  1.93
Cl1 0.900 0.900 0.299  0.01
Cl2 0.100 0.100 0.701  0.01

Which of them is the most stable? Correct choice: b).

a) Material: MgCoCl
Method: DFT, SCAN
State: single point on PBEsol structure

## Properties
Theoretical density: 4.08 Mg/m³
Space-group type: No. 42
Magnetization: 1.9 μB/f.u.

Cell: 3.084 3.084 5.981 Å, 97.80 97.80 118.27°
Last column: magnetic moment on the atom in μB.
Fractional coordinates of all 3 atoms:
Mg1 0.332 0.332 0.665  -0.01
Co1 0.661 0.661 0.322  1.88
Cl1 0.007 0.007 0.013  0.03

b) Material: MgCoCl
Method: DFT, SCAN
State: single point on PBEsol structure

## Properties
Theoretical density: 4.53 Mg/m³
Space-group type: No. 187
Magnetization: 0.7 μB/f.u.

Cell: 3.418 3.833 3.833 Å, 120.00 90.00 90.00°
Last column: magnetic moment on the atom in μB.
Fractional coordinates of all 3 atoms:
Mg1 0.500 0.667 0.333  -0.04
Co1 0.000 0.333 0.667  0.93
Cl1 0.000 0.000 0.000  -0.03

c) Material: MgCoCl
Method: DFT, SCAN
State: single point on PBEsol structure

## Properties
Theoretical density: 4.00 Mg/m³
Space-group type: No. 216
Magnetization: 0.7 μB/f.u.

Cell: 4.115 4.115 4.115 Å, 60.00 60.00 60.00°
Last column: magnetic moment on the atom in μB.
Fractional coordinates of all 3 atoms:
Mg1 0.000 0.000 0.000  -0.04
Co1 0.250 0.250 0.250  0.89
Cl1 0.500 0.500 0.500  0.04

Which of them is the most stable? Correct choice: a).

a) Material: MnCoCl2
Method: DFT, SCAN
State: single point on PBEsol structure

## Properties
Theoretical density: 5.39 Mg/m³
Space-group type: No. 123
Magnetization: 6.0 μB/f.u.

Cell: 3.083 4.298 4.298 Å, 90.00 90.00 90.00°
Last column: magnetic moment on the atom in μB.
Fractional coordinates of all 4 atoms:
Mn1 0.500 0.000 0.000  4.02
Co1 0.500 0.500 0.500  1.76
Cl1 0.000 0.000 0.500  0.10
Cl2 0.000 0.500 0.000  0.10

b) Material: MnCoCl2
Method: DFT, SCAN
State: single point on PBEsol structure

## Properties
Theoretical density: 5.06 Mg/m³
Space-group type: No. 166
Magnetization: 6.0 μB/f.u.

Cell: 3.134 3.134 7.355 Å, 77.70 77.70 60.00°
Last column: magnetic moment on the atom in μB.
Fractional coordinates of all 4 atoms:
Mn1 0.000 0.000 0.000  3.95
Co1 0.500 0.500 0.500  1.84
Cl1 0.244 0.244 0.267  0.06
Cl2 0.756 0.756 0.733  0.06

c) Material: MnCoCl2
Method: DFT, SCAN
State: single point on PBEsol structure

## Properties
Theoretical density: 4.44 Mg/m³
Space-group type: No. 35
Magnetization: 6.4 μB/f.u.

Cell: 3.064 3.064 7.667 Å, 90.00 90.00 106.07°
Last column: magnetic moment on the atom in μB.
Fractional coordinates of all 4 atoms:
Mn1 0.500 0.500 0.272  4.05
Co1 0.000 0.000 0.496  1.97
Cl1 0.000 0.000 0.073  0.09
Cl2 0.500 0.500 0.659  0.10

Which of them is the most stable? Correct choice: c).

a) Material: MnCo2Cl
Method: DFT, SCAN
State: single point on PBEsol structure

## Properties
Theoretical density: 6.62 Mg/m³
Space-group type: No. 99
Magnetization: 7.7 μB/f.u.

Cell: 2.841 2.841 6.468 Å, 90.00 90.00 90.00°
Last column: magnetic moment on the atom in μB.
Fractional coordinates of all 4 atoms:
Mn1 0.000 0.000 0.476  3.86
Co1 0.000 0.000 0.038  1.93
Co2 0.500 0.500 0.236  1.80
Cl1 0.500 0.500 0.750  0.07

b) Material: MnCo2Cl
Method: DFT, SCAN
State: single point on PBEsol structure

## Properties
Theoretical density: 7.25 Mg/m³
Space-group type: No. 71
Magnetization: 7.5 μB/f.u.

Cell: 2.736 4.119 4.903 Å, 114.83 106.20 90.00°
Last column: magnetic moment on the atom in μB.
Fractional coordinates of all 4 atoms:
Mn1 0.500 0.000 0.000  3.73
Co1 0.731 0.731 0.462  1.81
Co2 0.269 0.269 0.538  1.81
Cl1 0.000 0.500 0.000  0.08

c) Material: MnCo2Cl
Method: DFT, SCAN
State: single point on PBEsol structure

## Properties
Theoretical density: 5.48 Mg/m³
Space-group type: No. 8
Magnetization: 7.6 μB/f.u.

Cell: 2.890 3.824 6.167 Å, 91.48 90.00 112.20°
Last column: magnetic moment on the atom in μB.
Fractional coordinates of all 4 atoms:
Mn1 0.485 0.971 0.553  3.87
Co1 0.920 0.840 0.906  1.84
Co2 0.201 0.402 0.776  1.85
Cl1 0.893 0.787 0.266  0.05

Which of them is the most stable? Correct choice: c).

a) Material: CoMoCl
Method: DFT, SCAN
State: single point on PBEsol structure

## Properties
Theoretical density: 7.52 Mg/m³
Space-group type: No. 107
Magnetization: 0.8 μB/f.u.

Cell: 2.814 2.814 5.670 Å, 104.37 104.37 90.00°
Last column: magnetic moment on the atom in μB.
Fractional coordinates of all 3 atoms:
Mo1 0.327 0.327 0.654  -0.14
Co1 0.686 0.686 0.371  1.01
Cl1 0.987 0.987 0.974  -0.01

b) Material: CoMoCl
Method: DFT, SCAN
State: single point on PBEsol structure

## Properties
Theoretical density: 6.91 Mg/m³
Space-group type: No. 216
Magnetization: 0.0 μB/f.u.

Cell: 4.015 4.015 4.015 Å, 60.00 60.00 60.00°
Fractional coordinates of all 3 atoms:
Mo1 0.000 0.000 0.000
Co1 0.250 0.250 0.250
Cl1 0.500 0.500 0.500

Which of them is the most stable? Correct choice: a).

a) Material: Co2OsCl
Method: DFT, SCAN
State: single point on PBEsol structure

## Properties
Theoretical density: 11.05 Mg/m³
Space-group type: No. 123
Magnetization: 4.3 μB/f.u.

Cell: 2.636 4.424 4.424 Å, 90.00 90.00 90.00°
Last column: magnetic moment on the atom in μB.
Fractional coordinates of all 4 atoms:
Co1 0.000 0.000 0.500  1.83
Co2 0.000 0.500 0.000  1.83
Os1 0.500 0.500 0.500  0.40
Cl1 0.500 0.000 0.000  0.15

b) Material: Co2OsCl
Method: DFT, SCAN
State: single point on PBEsol structure

## Properties
Theoretical density: 11.73 Mg/m³
Space-group type: No. 216
Magnetization: 2.9 μB/f.u.

Cell: 4.098 4.098 4.098 Å, 60.00 60.00 60.00°
Last column: magnetic moment on the atom in μB.
Fractional coordinates of all 4 atoms:
Co1 0.000 0.000 0.000  0.98
Co2 0.750 0.750 0.750  1.87
Os1 0.250 0.250 0.250  0.03
Cl1 0.500 0.500 0.500  0.01

Which of them is the most stable? Correct choice: a).